[1]
Pa2Co4Si PBE-GGA relaxed; E_tot = -55.2 eV for the cell shown; energy relative to the lowest polymorph listed for this composition = 0.000 eV/atom; crystal system = triclinic; raw formation energy = -224 kJ/mol of formula units
1.0
3.862 0.545 -2.137
0.446 4.184 -1.616
-1.716 -0.861 8.424
Pa Co Si
2 4 1
Cartesian
3.026 2.847 -0.386
-0.435 1.021 5.057
2.478 3.986 2.211
0.113 -0.118 2.460
0.223 2.092 -0.808
0.661 3.596 5.740
3.862 0.545 -2.137

[2]
Sm3Ho2Tm7 PBE-GGA relaxed; E_tot = -53.5 eV for the cell shown; crystal system = monoclinic
1.0
-0.923 -3.192 -1.202
0.411 -2.125 5.327
-17.942 4.412 2.061
Sm Ho Tm
3 2 7
Cartesian
-0.256 -2.658 2.063
-6.499 1.148 1.942
-11.032 1.139 5.447
-5.407 -1.816 3.782
-13.047 0.911 2.405
-8.446 -1.136 4.309
-10.008 0.231 1.878
-2.283 -0.836 3.973
0.000 0.000 0.000
-15.248 3.123 3.415
-14.927 0.328 5.398
-3.527 -1.233 0.789

[3]
KPuTl PBE-GGA relaxed; E_tot = -34.8 eV for the cell shown; crystal system = monoclinic
1.0
-4.465 2.376 -0.185
1.191 -4.045 -11.479
-0.983 -0.988 11.025
Tl K Pu
2 2 2
Cartesian
-0.643 -0.650 7.154
-3.613 -2.007 -7.793
-1.502 -2.710 1.443
-2.754 0.053 -2.082
-0.883 -2.096 -5.616
-3.373 -0.561 4.977

[4]
MgBe2V PBE-GGA relaxed; E_tot = -34.9 eV for the cell shown; crystal system = triclinic
1.0
2.719 0.026 0.030
1.346 5.768 0.013
1.371 1.344 6.605
Be Mg V
4 2 2
Cartesian
3.207 4.672 4.257
3.187 3.289 6.175
1.853 3.028 4.614
1.847 1.573 6.181
3.237 5.722 1.861
1.838 2.881 2.085
4.524 5.294 6.229
3.235 1.049 4.254